A plane-wave DFT calculation with PBE+U was carried out for a relaxed structure of Cr3NiP4O16.

Output
Uncorrected energy in eV per cell: -173.322

a b c (Å): 4.7892 5.7476 9.8849
angles (deg): 90.00 90.26 90.00
Sites, in units of the cell vectors:
Cr1 0.0000 0.0000 0.0000
Cr2 0.0992 0.5000 0.5434
Cr3 0.6016 0.0000 0.5017
Ni1 0.4928 0.5000 0.0444
P1 0.1641 0.0000 0.6833
P2 0.4319 0.0000 0.1799
P3 0.6607 0.5000 0.3615
P4 0.9507 0.5000 0.8613
O1 0.2326 0.0000 0.8336
O2 0.2653 0.5000 0.8782
O3 0.2745 0.2066 0.1068
O4 0.2745 0.7934 0.1068
O5 0.3151 0.2082 0.6063
O6 0.3151 0.7918 0.6063
O7 0.3470 0.5000 0.3884
O8 0.3795 0.0000 0.3326
O9 0.7241 0.5000 0.2128
O10 0.7456 0.0000 0.1537
O11 0.8058 0.2877 0.9345
O12 0.8058 0.7123 0.9345
O13 0.8138 0.2918 0.4399
O14 0.8138 0.7082 0.4399
O15 0.8498 0.0000 0.6594
O16 0.8750 0.5000 0.7098